1.
Entry from the Alexandria database: a relaxed structure of ZrPdSe2S (PBE-GGA).

Cell lengths 4.874, 4.874, 4.449 Å; angles 90.00, 90.00, 90.00 degrees
Space group P4/mmm (No. 123)
Asymmetric unit:
Zr 0.000 0.000 0.000 x1
Pd 0.500 0.500 0.000 x1
Se 0.000 0.500 0.500 x2
S 0.500 0.500 0.500 x1

The uncorrected formation energy is 0.22 eV/atom. For the total energy, the calculation gives -4.748 eV/atom.



2.
Entry from the Alexandria database: a relaxed structure of Si2PdS (PBE-GGA).

Cell lengths 6.270, 6.270, 6.270 Å; angles 90.00, 90.00, 90.00 degrees
Space group Fm-3m (No. 225)
Asymmetric unit:
Si 0.250 0.250 0.250 x8
Pd 0.000 0.000 0.000 x4
S 0.000 0.000 0.500 x4

The uncorrected formation energy is 0.37 eV/atom. The value obtained for the energy above the lowest structure with this stoichiometry is 412 meV per atom. For the total energy, the calculation gives -4.669 eV/atom.